Arrangement i

The following is a DFT calculation (PBE) of a geometry-optimized Y2ScAs2 structure.

Computed properties:
Space-group type: P4/mbm
Crystal system: tetragonal
Calculated density, g cm⁻³: 5.41
Size of the total moment, μB per cell: 0.003

Cell: 7.559 7.559 4.000 Å, 90.00 90.00 90.00°
Atoms (fractional coordinates):
1 Y 0.157 0.343 0.000
2 Y 0.343 0.843 0.000
3 Y 0.657 0.157 0.000
4 Y 0.843 0.657 0.000
5 Sc 0.000 0.000 0.500
6 Sc 0.500 0.500 0.500
7 As 0.152 0.652 0.500
8 As 0.348 0.152 0.500
9 As 0.652 0.848 0.500
10 As 0.848 0.348 0.500



Arrangement ii

The following is a DFT calculation (PBE) of a geometry-optimized Y2ScAs2 structure.

Computed properties:
Space-group type: I4/mmm
Crystal system: tetragonal
Calculated density, g cm⁻³: 5.01
Size of the total moment, μB per cell: 0.003

Cell: 4.454 4.454 12.443 Å, 90.00 90.00 90.00°
Atoms (fractional coordinates):
1 Y 0.000 0.500 0.250
2 Y 0.000 0.500 0.750
3 Y 0.500 0.000 0.250
4 Y 0.500 0.000 0.750
5 Sc 0.000 0.000 0.000
6 Sc 0.500 0.500 0.500
7 As 0.000 0.000 0.396
8 As 0.000 0.000 0.604
9 As 0.500 0.500 0.104
10 As 0.500 0.500 0.896



It is arrangement ii that is the least stable of them.



Arrangement i

The following is a DFT calculation (PBE) of a geometry-optimized As3Se structure.

Computed properties:
Space-group type: Imm2
Crystal system: orthorhombic
Calculated density, g cm⁻³: 5.62
Size of the total moment, μB per cell: 0.000

Cell: 3.822 7.275 6.452 Å, 90.00 90.00 90.00°
Atoms (fractional coordinates):
1 As 0.000 0.000 0.000
2 As 0.000 0.276 0.302
3 As 0.000 0.724 0.302
4 As 0.500 0.224 0.802
5 As 0.500 0.500 0.500
6 As 0.500 0.776 0.802
7 Se 0.000 0.500 0.011
8 Se 0.500 0.000 0.511



Arrangement ii

The following is a DFT calculation (PBE) of a geometry-optimized As3Se structure.

Computed properties:
Space-group type: C2/m
Crystal system: monoclinic
Calculated density, g cm⁻³: 5.80
Size of the total moment, μB per cell: 0.000

Cell: 11.717 3.797 4.091 Å, 90.00 107.16 90.00°
Atoms (fractional coordinates):
1 As 0.000 0.000 0.000
2 As 0.243 0.000 0.202
3 As 0.257 0.500 0.798
4 As 0.500 0.500 0.000
5 As 0.743 0.500 0.202
6 As 0.757 0.000 0.798
7 Se 0.000 0.500 0.500
8 Se 0.500 0.000 0.500



Arrangement iii

The following is a DFT calculation (PBE) of a geometry-optimized As3Se structure.

Computed properties:
Space-group type: Immm
Crystal system: orthorhombic
Calculated density, g cm⁻³: 6.16
Size of the total moment, μB per cell: 0.000

Cell: 3.569 4.387 10.460 Å, 90.00 90.00 90.00°
Atoms (fractional coordinates):
1 As 0.000 0.000 0.000
2 As 0.000 0.500 0.296
3 As 0.000 0.500 0.704
4 As 0.500 0.000 0.204
5 As 0.500 0.000 0.796
6 As 0.500 0.500 0.500
7 Se 0.000 0.000 0.500
8 Se 0.500 0.500 0.000



It is arrangement iii that is the least stable of them.